#a
DFT (PBE) results for crystalline ZnTePd6 at its relaxed geometry.

Unit cell a=5.9212 b=7.5950 c=11.4237 alpha=90.00 beta=90.00 gamma=90.00
Last column: nearest neighbours and their distance in Å.
Space group Fmmm (No. 69)
Unique sites:
Zn (0.0000, 0.0000, 0.0000) x4  10 Pd 2.79-2.80, 2 Te 2.96
Te (0.0000, 0.0000, 0.5000) x4  10 Pd 2.79-2.91, 2 Zn 2.96
Pd (0.0000, 0.0000, 0.2448) x8  10 Pd 2.78-2.96, 1 Zn 2.80, 1 Te 2.91
Pd (0.2500, 0.2500, 0.1231) x16  8 Pd 2.78-2.96, 2 Te 2.79, 2 Zn 2.79

#b
DFT (PBE) results for crystalline ZnTePd6 at its relaxed geometry.

Unit cell a=5.2332 b=5.2486 c=5.2694 alpha=76.24 beta=75.74 gamma=77.57
Last column: nearest neighbours and their distance in Å.
Space group P-1 (No. 2)
Unique sites:
Zn (0.0000, 0.0000, 0.0000) x1  6 Pd 2.58-2.59
Te (0.5000, 0.5000, 0.5000) x1  6 Pd 2.68
Pd (0.0006, 0.2451, 0.5143) x2  1 Zn 2.58, 4 Pd 2.61-2.86, 1 Te 2.68
Pd (0.2447, 0.5141, 0.0050) x2  1 Zn 2.59, 4 Pd 2.61-2.88, 1 Te 2.68
Pd (0.4941, 0.9947, 0.7544) x2  1 Zn 2.59, 4 Pd 2.62-2.88, 1 Te 2.68

Stability ranking, top entry: #a; the second entry is 77 meV per atom less favorable.

#a
DFT (PBE) results for crystalline Th3Pd at its relaxed geometry.

Unit cell a=7.0354 b=10.2386 c=6.4046 alpha=90.00 beta=90.00 gamma=90.00
Last column: nearest neighbours and their distance in Å.
Space group Pnma (No. 62)
Unique sites:
Th (0.0419, 0.2500, 0.1552) x4  2 Pd 3.01-3.10
Th (0.1993, 0.0539, 0.6253) x8  2 Pd 2.94-2.96
Pd (0.1056, 0.7500, 0.3894) x4  6 Th 2.94-3.10

#b
DFT (PBE) results for crystalline Th3Pd at its relaxed geometry.

Unit cell a=3.4802 b=3.5341 c=9.6698 alpha=90.00 beta=90.00 gamma=90.00
Last column: nearest neighbours and their distance in Å.
Space group Pmm2 (No. 25)
Unique sites:
Th (0.0000, 0.0000, 0.0000) x1  10 Th 3.47-3.59
Th (0.0000, 0.5000, 0.3091) x1  4 Pd 3.00
Th (0.5000, 0.5000, 0.7312) x1  2 Pd 2.98
Pd (0.5000, 0.0000, 0.4836) x1  6 Th 2.98-3.00

Stability ranking, top entry: #a; the second entry is 246 meV per atom less favorable.

#a
DFT (PBE) results for crystalline Th3Pd at its relaxed geometry.

Unit cell a=3.6128 b=10.5864 c=5.9566 alpha=90.00 beta=90.00 gamma=90.00
Last column: nearest neighbours and their distance in Å.
Space group Imm2 (No. 44)
Unique sites:
Th (0.0000, 0.0000, 0.0000) x2  2 Pd 3.01
Th (0.0000, 0.2110, 0.5541) x4  2 Pd 3.01
Pd (0.0000, 0.5000, 0.9047) x2  6 Th 3.01

#b
DFT (PBE) results for crystalline Th3Pd at its relaxed geometry.

Unit cell a=7.1236 b=3.7390 c=8.8633 alpha=90.00 beta=99.32 gamma=90.00
Last column: nearest neighbours and their distance in Å.
Space group P2_1/m (No. 11)
Unique sites:
Th (0.0788, 0.2500, 0.3460) x2  2 Pd 3.02
Th (0.2154, 0.2500, 0.9443) x2  2 Pd 2.97
Th (0.3899, 0.7500, 0.6255) x2  2 Pd 2.96
Pd (0.3324, 0.7500, 0.2022) x2  6 Th 2.96-3.02

Stability ranking, top entry: #b; the second entry is 8 meV per atom less favorable.